Computed, not measured: Li3Mn4B4O12 after structural relaxation at the GGA+U level of DFT.

Structure (POSCAR):
```
Li3Mn4B4O12
1.0
-5.6848 0.1303 0.0200
2.6137 5.0425 0.3225
-0.1074 -3.3045 -9.2298
Li Mn B O
3 4 4 12
Direct
0.3711 0.7526 0.9990
0.5132 0.1957 0.5730
0.3369 0.4855 0.3580
0.9607 0.8212 0.2424
0.6487 0.1948 0.2802
0.1168 0.7677 0.7491
0.8570 0.2264 0.8830
0.4042 0.2723 0.0273
0.1150 0.7594 0.4862
0.8906 0.1000 0.5483
0.8412 0.8142 0.9845
0.2572 0.3800 0.9881
0.9815 0.6789 0.0094
0.5234 0.3764 0.1774
0.3580 0.1548 0.3776
0.3231 0.7812 0.5668
0.8777 0.3030 0.6728
0.0116 0.5687 0.3421
0.7940 0.0459 0.4058
0.0041 0.9371 0.5716
0.7537 0.9471 0.1074
0.4467 0.0593 0.9206
0.7993 0.8124 0.8462
```

**Space-group type**: No. 1
**DFT total energy**: -7.32 eV per atom
**Energy relative to the lowest polymorph listed for this composition**: 1.99 eV per formula unit